Entry 1:
Pr2Ho3Th2 | PBE-GGA | optimized geometry

Computed properties:
* symmetry: P-1, No. 2
* DFT formation energy: 0.85 kcal/mol of atoms
* N(E_F): 9.2 states/eV/f.u.
* polymorph energy (0 for the lowest one): 0.000 eV per atom

Lattice parameters (Å, degrees): 3.612 8.020 8.738 69.62 89.99 77.02
Fractional coordinates of all 7 atoms:
Pr  0.216  0.066  0.144
Pr  0.784  0.934  0.856
Ho  0.363  0.775  0.565
Ho  0.500  0.500  0.000
Ho  0.637  0.225  0.435
Th  0.068  0.366  0.711
Th  0.932  0.634  0.289

=====

Entry 2:
TmSc2B2Ir5 | PBE-GGA | optimized geometry

Computed properties:
* symmetry: P4/mbm, No. 127
* DFT formation energy: -18.16 kcal/mol of atoms
* N(E_F): 2.6 states/eV/f.u.

Lattice parameters (Å, degrees): 9.716 9.716 3.140 90.00 90.00 90.00
Fractional coordinates of all 20 atoms:
Tm  0.000  0.000  0.000
Tm  0.500  0.500  0.000
Sc  0.177  0.323  0.000
Sc  0.323  0.823  0.000
Sc  0.677  0.177  0.000
Sc  0.823  0.677  0.000
B  0.121  0.621  0.000
B  0.379  0.121  0.000
B  0.621  0.879  0.000
B  0.879  0.379  0.000
Ir  0.000  0.500  0.500
Ir  0.071  0.772  0.500
Ir  0.228  0.071  0.500
Ir  0.272  0.571  0.500
Ir  0.429  0.272  0.500
Ir  0.500  0.000  0.500
Ir  0.571  0.728  0.500
Ir  0.728  0.429  0.500
Ir  0.772  0.929  0.500
Ir  0.929  0.228  0.500

=====

Entry 3:
AlIn5Hg8 | PBE-GGA | optimized geometry

Computed properties:
* symmetry: I-4, No. 82
* DFT formation energy: 0.76 kcal/mol of atoms
* N(E_F): 3.0 states/eV/f.u.

Lattice parameters (Å, degrees): 7.804 7.804 7.804 109.31 109.31 109.79
Fractional coordinates of all 14 atoms:
Al  0.000  0.000  0.000
In  0.127  0.500  0.839
In  0.250  0.750  0.500
In  0.500  0.339  0.628
In  0.661  0.288  0.161
In  0.712  0.873  0.372
Hg  0.035  0.245  0.388
Hg  0.224  0.113  0.773
Hg  0.340  0.451  0.227
Hg  0.353  0.965  0.210
Hg  0.549  0.776  0.889
Hg  0.755  0.143  0.790
Hg  0.857  0.647  0.612
Hg  0.887  0.660  0.111

=====

Entry 4:
TaCrSeN2 | PBE-GGA | optimized geometry

Computed properties:
* formation energy without anion corrections: 3.62 eV per formula unit
* symmetry: P4/mmm, No. 123
* N(E_F): 4.0 states/eV/f.u.
* polymorph energy (0 for the lowest one): 0.516 eV per atom

Lattice parameters (Å, degrees): 3.722 3.722 4.839 90.00 90.00 90.00
Fractional coordinates of all 5 atoms:
Ta  0.000  0.000  0.000
Cr  0.500  0.500  0.500
Se  0.500  0.500  0.000
N  0.000  0.500  0.500
N  0.500  0.000  0.500

=====

Entry 5:
Cu2SiPt | PBE-GGA | optimized geometry

Computed properties:
* formation energy without anion corrections: 0.14 eV per formula unit
* symmetry: Cmmm, No. 65
* N(E_F): 2.1 states/eV/f.u.

Lattice parameters (Å, degrees): 2.717 4.706 8.591 90.00 90.00 90.00
Fractional coordinates of all 8 atoms:
Cu  0.000  0.000  0.236
Cu  0.000  0.000  0.764
Cu  0.500  0.500  0.236
Cu  0.500  0.500  0.764
Si  0.000  0.500  0.000
Si  0.500  0.000  0.000
Pt  0.000  0.500  0.500
Pt  0.500  0.000  0.500